The following is a DFT calculation (GGA-PBE) of a geometry-optimized SrGe3Au2 structure.

a = 4.4466 Å, b = 4.4466 Å, c = 13.8433 Å
α = 99.24°, β = 99.24°, γ = 90.00°
With the nearest neighbours (Å) after each atom.
Sites, in units of the cell vectors:
Sr: 0.8492 0.8492 0.6984  8 Ge 3.37-3.57, 8 Au 3.43-3.48
Sr: 0.1508 0.1508 0.3016  8 Ge 3.37-3.57, 8 Au 3.43-3.48
Ge: 0.4529 0.9529 0.9058  1 Ge 2.54, 2 Au 2.64
Ge: 0.9529 0.4529 0.9058  1 Ge 2.54, 2 Au 2.64
Ge: 0.5471 0.0471 0.0942  1 Ge 2.54, 2 Au 2.64
Ge: 0.3047 0.3047 0.6094  5 Au 2.57-2.67
Ge: 0.6953 0.6953 0.3906  5 Au 2.57-2.67
Ge: 0.0471 0.5471 0.0942  1 Ge 2.54, 2 Au 2.64
Au: 0.2500 0.7500 0.5000  4 Ge 2.67
Au: 0.7500 0.2500 0.5000  4 Ge 2.67
Au: 0.4002 0.4002 0.8003  5 Ge 2.57-2.64
Au: 0.5998 0.5998 0.1997  5 Ge 2.57-2.64

Properties
* formation enthalpy at 0 K: -342.6 meV per atom
* magnetization: 0.00 μB/cell

The following is a DFT calculation (GGA-PBE) of a geometry-optimized PmDyH8Ir2 structure.

a = 4.8521 Å, b = 4.8521 Å, c = 6.7036 Å
α = 68.78°, β = 68.78°, γ = 60.00°
With the nearest neighbours (Å) after each atom.
Sites, in units of the cell vectors:
Pm: 0.5000 0.5000 0.5000  6 H 2.32
Dy: 0.0000 0.0000 0.0000  6 H 2.35
H: 0.1738 0.1738 0.4786  1 Ir 1.61
H: 0.5390 0.3956 0.1769  1 Ir 1.67
H: 0.8262 0.8262 0.5214  1 Ir 1.61
H: 0.8885 0.5390 0.1769  1 Ir 1.67
H: 0.1115 0.4610 0.8231  1 Ir 1.67
H: 0.3956 0.8885 0.1769  1 Ir 1.67
H: 0.6044 0.1115 0.8231  1 Ir 1.67
H: 0.4610 0.6044 0.8231  1 Ir 1.67
Ir: 0.2621 0.2621 0.2136  4 H 1.61-1.67
Ir: 0.7379 0.7379 0.7864  4 H 1.61-1.67

Properties
* energy: -4.77 eV/atom
* magnetization: 0.00 μB/cell